(1)
First-principles (PBE) data for a relaxed structure of ThTl2AgS4, as listed in Alexandria.

## Properties
Formation energy without anion corrections ... -0.819 eV/atom
DOS at the Fermi energy ... 2.48 states/eV per cell
M_tot ... 0.00 μB/atom

a b c (Å): 7.029 4.049 8.054
angles (deg): 90.00 111.35 90.00
Space group P2/m (No. 10)
Inequivalent atoms, fractional coordinates:
Th 0.000 0.000 0.000 (multiplicity 1)
Tl 0.000 0.500 0.500 (multiplicity 1)
Tl 0.500 0.000 0.500 (multiplicity 1)
Ag 0.500 0.500 0.000 (multiplicity 1)
S 0.212 0.500 0.222 (multiplicity 2)
S 0.284 0.000 0.817 (multiplicity 2)

=====

(2)
First-principles (PBE) data for a relaxed structure of Tb4CuS3, as listed in Alexandria.

## Properties
Formation energy without anion corrections ... -1.544 eV/atom
DOS at the Fermi energy ... 10.53 states/eV per cell
M_tot ... 0.00 μB/atom

a b c (Å): 8.020 11.235 3.894
angles (deg): 90.00 90.00 90.00
Space group Cmmm (No. 65)
Inequivalent atoms, fractional coordinates:
Tb 0.000 0.249 0.000 (multiplicity 4)
Tb 0.250 0.000 0.500 (multiplicity 4)
Cu 0.000 0.500 0.000 (multiplicity 2)
S 0.000 0.000 0.000 (multiplicity 2)
S 0.250 0.250 0.500 (multiplicity 4)